Density functional theory data (PBE+U) for an optimized crystal structure of TlMo3F.

The total magnetization is 0.12 μB per cell. The calculation puts the relative energy among the computed polymorphs at 0 meV/atom. The value obtained for the total energy is -3.82 eV per atom.

It has space group Pm-3m (No. 221), with a = 4.391 Å, b = 4.391 Å, c = 4.391 Å, α = 90.00°, β = 90.00° and γ = 90.00°. The distinct sites, in fractional coordinates, are Tl at (0.000, 0.000, 0.000), Mo at (0.000, 0.500, 0.500) and F at (0.500, 0.500, 0.500).